Entry 1:
This record from Alexandria via LeMat-Bulk describes Tl2SnMo after structural relaxation. The functional is PBEsol.

Calculated values
energy relative to the elements = 20.36 kcal/mol of atoms
raw total energy = -17.76 eV per cell
crystal system = cubic
volume = 94.2 Å³ per cell
symmetry = No. 225

Structure (POSCAR):
```
Tl2SnMo
1.0
0.000 3.611 3.611
3.611 0.000 3.611
3.611 3.611 0.000
Tl Sn Mo
2 1 1
Direct
0.250 0.250 0.250 Tl
0.750 0.750 0.750 Tl
0.000 0.000 0.000 Sn
0.500 0.500 0.500 Mo
```

***

Entry 2:
This record from Alexandria via LeMat-Bulk describes YSn2Mo2 after structural relaxation. The functional is PBEsol.

Calculated values
energy relative to the elements = 0.35 kcal/mol of atoms
raw total energy = -38.80 eV per cell
crystal system = tetragonal
volume = 104.9 Å³ per cell
symmetry = No. 139

Structure (POSCAR):
```
YSn2Mo2
1.0
-2.003 2.003 6.536
2.003 -2.003 6.536
2.003 2.003 -6.536
Y Sn Mo
1 2 2
Direct
0.000 0.000 0.000 Y
0.392 0.392 0.000 Sn
0.608 0.608 0.000 Sn
0.250 0.750 0.500 Mo
0.750 0.250 0.500 Mo
```

***

Entry 3:
This record from Alexandria via LeMat-Bulk describes Zn3SnMo after structural relaxation. The functional is PBEsol.

Calculated values
energy relative to the elements = 34.24 kcal/mol of atoms
raw total energy = -13.35 eV per cell
crystal system = cubic
volume = 120.7 Å³ per cell
symmetry = No. 221

Structure (POSCAR):
```
Zn3SnMo
1.0
4.942 0.000 0.000
0.000 4.942 0.000
0.000 0.000 4.942
Zn Sn Mo
3 1 1
Direct
0.000 0.000 0.500 Zn
0.000 0.500 0.000 Zn
0.500 0.000 0.000 Zn
0.000 0.000 0.000 Sn
0.500 0.500 0.500 Mo
```

***

> What is the energy relative to the elements in the first record?

20.36 kcal/mol of atoms